(1)
# CsSm2I7

A geometry-optimized CsSm2I7 structure (PBE, the Alexandria database).

Geometry as extended XYZ:
```
10
Lattice="6.171 0.000 0.000 0.000 9.910 0.000 0.000 -4.955 8.006" Properties=species:S:1:pos:R:3 pbc="T T T"
I 3.085 8.048 2.235
I 3.085 -3.093 5.771
I 0.000 4.955 3.242
I 3.085 3.093 5.771
I 3.085 4.955 0.000
I 3.085 1.861 2.235
I 0.000 0.000 4.764
Sm 3.085 4.955 3.166
Sm 3.085 0.000 4.839
Cs 0.000 0.000 0.000
```

Values from the calculation:
Total moment = 0.00 μB per cell
Total DFT energy (no corrections) = -3.5128 eV per atom
Formation energy (no corrections) = -1.40 eV per atom



(2)
# Tl2InRh2

A geometry-optimized Tl2InRh2 structure (PBE, the Alexandria database).

Geometry as extended XYZ:
```
10
Lattice="7.172 0.000 0.000 0.000 7.172 0.000 0.000 0.000 3.892" Properties=species:S:1:pos:R:3 pbc="T T T"
In 0.000 0.000 0.000
In 3.586 3.586 0.000
Tl 6.055 2.469 1.946
Tl 2.469 1.116 1.946
Tl 1.116 4.702 1.946
Tl 4.702 6.055 1.946
Rh 1.054 2.532 0.000
Rh 6.118 4.639 0.000
Rh 4.639 1.054 0.000
Rh 2.532 6.118 0.000
```

Values from the calculation:
Relative energy among the computed polymorphs = 0.000 eV per atom
Total moment = 0.00 μB per cell
Total DFT energy (no corrections) = -4.4583 eV per atom
E_form = -0.02 eV/atom



(3)
# Tm2TlTcC

A geometry-optimized Tm2TlTcC structure (PBE, the Alexandria database).

Geometry as extended XYZ:
```
5
Lattice="-3.465 -0.785 1.907 -1.341 -2.980 -3.662 2.123 -3.781 2.300" Properties=species:S:1:pos:R:3 pbc="T T T"
Tc -1.732 -0.393 0.954
Tl -1.341 -3.773 0.272
C 0.000 0.000 0.000
Tm 1.062 -1.891 1.150
Tm -0.670 -1.490 -1.831
```

Values from the calculation:
Total moment = 0.00 μB per cell
Total DFT energy (no corrections) = -6.5250 eV per atom
E_form = -0.35 eV/atom



(4)
# Sc3BiB

A geometry-optimized Sc3BiB structure (PBE, the Alexandria database).

Geometry as extended XYZ:
```
5
Lattice="-1.791 -2.315 4.503 4.004 -3.571 -0.243 3.099 3.276 2.916" Properties=species:S:1:pos:R:3 pbc="T T T"
Sc 1.550 1.638 1.458
Sc 2.002 -1.786 -0.122
Sc -0.895 -1.157 2.252
B 2.656 -1.305 3.588
Bi 0.000 0.000 0.000
```

Values from the calculation:
Relative energy among the computed polymorphs = 1.814 eV per atom
Total moment = 0.00 μB per cell
Total DFT energy (no corrections) = -4.6633 eV per atom
E_form = 1.25 eV/atom



(5)
# HfHgPd6

A geometry-optimized HfHgPd6 structure (PBE, the Alexandria database).

Geometry as extended XYZ:
```
8
Lattice="6.970 0.357 -0.187 3.797 6.589 0.013 3.458 2.397 3.004" Properties=species:S:1:pos:R:3 pbc="T T T"
Pd 2.948 3.939 0.498
Pd 5.349 2.615 0.924
Pd 11.479 8.360 2.167
Pd 11.276 5.403 2.332
Pd 2.745 0.983 0.663
Pd 8.875 6.727 1.906
Hg 0.000 0.000 0.000
Hf 7.112 4.671 1.415
```

Values from the calculation:
Relative energy among the computed polymorphs = 0.179 eV per atom
Total moment = 0.00 μB per cell
Total DFT energy (no corrections) = -5.5347 eV per atom
E_form = -0.36 eV/atom



(6)
# TmTlCdAg

A geometry-optimized TmTlCdAg structure (PBE, the Alexandria database).

Geometry as extended XYZ:
```
4
Lattice="5.055 0.000 0.000 2.528 4.378 0.000 2.528 1.459 4.128" Properties=species:S:1:pos:R:3 pbc="T T T"
Tm 2.528 1.459 1.032
Ag 0.000 0.000 0.000
Tl 5.055 2.919 2.064
Cd 7.583 4.378 3.096
```

Values from the calculation:
Total moment = 0.00 μB per cell
Total DFT energy (no corrections) = -2.8340 eV per atom
E_form = -0.18 eV/atom



(7)
# Mg7Si4

A geometry-optimized Mg7Si4 structure (PBE, the Alexandria database).

Geometry as extended XYZ:
```
22
Lattice="5.267 0.164 0.322 -0.692 6.175 0.534 0.540 -1.649 13.388" Properties=species:S:1:pos:R:3 pbc="T T T"
Mg 5.442 -0.539 13.389
Mg 1.011 1.917 5.990
Mg 4.796 4.243 0.951
Mg 2.457 4.142 12.690
Mg 0.805 3.087 8.808
Mg 4.124 0.383 4.936
Mg 0.828 4.937 5.792
Mg 3.339 4.728 7.997
Mg 4.470 0.261 10.392
Mg 2.159 5.313 2.341
Mg 1.669 1.470 11.513
Mg 3.546 1.595 7.724
Mg 3.545 3.512 4.983
Mg 2.089 2.364 0.911
Si 1.856 -0.730 10.024
Si 4.185 2.028 2.602
Si 0.164 -0.234 2.214
Si 5.095 3.779 11.779
Si 0.769 3.233 3.448
Si 1.959 1.135 3.518
Si 1.166 -0.153 7.801
Si 3.501 2.905 10.129
```

Values from the calculation:
Relative energy among the computed polymorphs = 0.036 eV per atom
Total moment = 0.00 μB per cell
Total DFT energy (no corrections) = -2.9347 eV per atom
Formation energy (no corrections) = 0.05 eV per atom



(8)
# Nb6ZnMo5

A geometry-optimized Nb6ZnMo5 structure (PBE, the Alexandria database).

Geometry as extended XYZ:
```
12
Lattice="4.482 -0.287 0.732 -0.018 5.999 2.460 1.035 0.282 7.864" Properties=species:S:1:pos:R:3 pbc="T T T"
Nb 2.236 1.406 1.002
Nb 1.424 5.632 7.596
Nb 1.432 2.662 6.378
Nb 3.263 4.588 10.054
Nb 4.067 3.332 4.678
Nb 4.076 0.362 3.460
Mo -0.009 2.999 1.230
Mo 3.670 4.002 7.356
Mo 1.837 5.024 4.851
Mo 1.829 1.992 3.700
Mo 3.662 0.970 6.205
Zn 0.000 0.000 0.000
```

Values from the calculation:
Total moment = 0.00 μB per cell
Total DFT energy (no corrections) = -9.7496 eV per atom
E_form = -0.10 eV/atom



| no. | ρ (Mg/m³) |
| --- | --- |
| 1 | 4.48 |
| 2 | 12.10 |
| 3 | 11.15 |
| 4 | 3.80 |
| 5 | 12.40 |
| 6 | 10.79 |
| 7 | 2.13 |
| 8 | 9.02 |